1.
The following is a DFT calculation (PBE) of crystalline CuAs2W at its relaxed geometry.

Lattice parameters (Å, degrees): 3.2486 3.2487 5.9303 90.00 90.00 90.00
Positions (direct):
As1 0.0000 0.0000 0.5103
As2 0.0000 0.0000 0.9897
Cu1 0.5000 0.5000 0.2500
W1 0.5000 0.5000 0.7500

Calculated values
The value obtained for the magnetic moment is 0.00 Bohr magnetons per cell. As for the space group: No. 123. The total energy is -6.4208 eV/atom. For the energy above the most stable polymorph in this dataset, the calculation gives 0.0332 eV per atom. As for the calculated formation energy: 0.1663 eV/atom. As for the crystal system: tetragonal. The calculation puts the volume at 63 Å³/cell.

---

2.
The following is a DFT calculation (PBE) of crystalline TbNd3Y2Se6 at its relaxed geometry.

Lattice parameters (Å, degrees): 7.1720 7.1720 7.2809 99.43 99.43 120.29
Positions (direct):
Tb1 0.0000 0.0000 0.0000
Se1 0.5872 0.9211 0.7629
Se2 0.0789 0.4128 0.2371
Se3 0.4128 0.0789 0.2371
Se4 0.7450 0.7450 0.2370
Se5 0.2550 0.2550 0.7630
Se6 0.9211 0.5872 0.7629
Y1 0.3334 0.6666 0.0000
Y2 0.6666 0.3334 0.0000
Nd1 0.1663 0.8337 0.5000
Nd2 0.8337 0.1663 0.5000
Nd3 0.5000 0.5000 0.5000

Calculated values
The value obtained for the uncorrected formation energy is -1.809 eV per atom. The value obtained for the magnetic moment is 0.00 Bohr magnetons per cell. As for the space group: No. 12. The total energy is -6.2063 eV/atom. As for the crystal system: monoclinic. The calculation puts the volume at 305 Å³/cell.